No. 1
Density functional theory data (PBE) for a relaxed structure of Tb2RhBr2.

Cell: 3.9754 3.9754 32.5759 Å, 90.00 90.00 120.00°
Space group R-3m (No. 166, hexagonal axes)
Unique sites:
Tb  0.0000  0.0000  0.1172 [6 per cell]
Rh  0.0000  0.0000  0.5000 [3 per cell]
Br  0.0000  0.0000  0.2752 [6 per cell]

Values from the calculation:
* crystal system: trigonal
* E_tot: -0.3902 Ry per atom


No. 2
Density functional theory data (PBE) for a relaxed structure of TcRhBr.

Cell: 6.026 6.026 6.026 Å, 90.00 90.00 90.00°
Space group F-43m (No. 216)
Unique sites:
Tc  0.000  0.000  0.000 [4 per cell]
Rh  0.250  0.250  0.250 [4 per cell]
Br  0.250  0.250  0.750 [4 per cell]

Values from the calculation:
* crystal system: cubic
* energy above the most stable polymorph in this dataset: 208 meV per atom
* E_tot: -0.4257 Ry per atom


no.,formation energy without anion corrections (eV/atom),magnetic moment (Bohr magnetons per cell)
1,-1.317,0.000
2,0.672,0.000